Y5Sn2Bi2: relaxed, PBE.

## Properties
The value obtained for the calculated density is 6.9 Mg/m³. The total magnetic moment is 0.0 μB per formula unit. Its space group is No. 64. The value obtained for the formation energy from the elements is -81 kJ per mole of atoms.

a b c (Å): 8.2473 8.2259 8.8370
angles (deg): 117.74 90.00 90.00
Atoms (fractional coordinates):
Y: 0.3365 0.7041 0.7372
Y: 0.1635 0.4669 0.2628
Y: 0.5000 0.5000 0.0000
Y: 0.0000 0.0000 0.0000
Y: 0.8365 0.5331 0.7372
Y: 0.3365 0.9669 0.2628
Y: 0.1635 0.2041 0.7372
Y: 0.6635 0.0331 0.7372
Y: 0.6635 0.2959 0.2628
Y: 0.8365 0.7959 0.2628
Sn: 0.6368 0.8625 0.0000
Sn: 0.3632 0.1375 0.0000
Sn: 0.1368 0.6375 0.0000
Sn: 0.8632 0.3625 0.0000
Bi: 0.0000 0.2044 0.4088
Bi: 0.5000 0.7044 0.4088
Bi: 0.5000 0.2956 0.5912
Bi: 0.0000 0.7956 0.5912